# 1
The following is a DFT calculation (PBE) of a geometry-optimized TlAg2Te2 structure.

Symmetry = I4/mmm (139)
VASP energy = -14.88 eV for the cell shown
Density = 7.940 g/cm³
Distance to the lowest polymorph of the same formula = 0.0 meV/atom

Cell: 7.3821 7.3821 7.3821 Å, 143.54 143.54 52.52°
Element x y z (fractional)
Tl: 0.0000 0.0000 0.0000
Ag: 0.2500 0.7500 0.5000
Ag: 0.7500 0.2500 0.5000
Te: 0.3752 0.3752 0.0000
Te: 0.6248 0.6248 0.0000



# 2
The following is a DFT calculation (PBE) of a geometry-optimized Sm2ErP3 structure.

Symmetry = P-3m1 (164)
VASP energy = -39.71 eV for the cell shown
Density = 6.562 g/cm³

Cell: 4.0611 4.0611 9.9383 Å, 90.00 90.00 120.00°
Element x y z (fractional)
Sm: 0.3333 0.6667 0.3297
Sm: 0.6667 0.3333 0.6703
Er: 0.0000 0.0000 0.0000
P: 0.0000 0.0000 0.5000
P: 0.3333 0.6667 0.8408
P: 0.6667 0.3333 0.1592



# 3
The following is a DFT calculation (PBE) of a geometry-optimized TaNbMo2W4 structure.

Formation enthalpy at 0 K = -0.096 eV per atom
Symmetry = P-4m2 (115)
VASP energy = -96.25 eV for the cell shown
Density = 15.141 g/cm³

Cell: 4.5334 4.5334 6.4095 Å, 90.00 90.00 90.00°
Element x y z (fractional)
Ta: 0.0000 0.0000 0.0000
Nb: 0.5000 0.5000 0.5000
Mo: 0.0000 0.5000 0.7499
Mo: 0.5000 0.0000 0.2501
W: 0.0000 0.0000 0.5000
W: 0.0000 0.5000 0.2501
W: 0.5000 0.0000 0.7499
W: 0.5000 0.5000 0.0000



# 4
The following is a DFT calculation (PBE) of a geometry-optimized KScHg structure.

Symmetry = F-43m (216)
VASP energy = -5.25 eV for the cell shown
Density = 4.452 g/cm³
Distance to the lowest polymorph of the same formula = 434.9 meV/atom

Cell: 5.3151 5.3151 5.3151 Å, 60.00 60.00 60.00°
Element x y z (fractional)
K: 0.0000 0.0000 0.0000
Sc: 0.2500 0.2500 0.2500
Hg: 0.7500 0.7500 0.7500



# 5
The following is a DFT calculation (PBE) of a geometry-optimized TbYPb2Au2 structure.

Symmetry = P3m1 (156)
VASP energy = -28.80 eV for the cell shown
Density = 11.668 g/cm³

Cell: 4.7898 4.7898 7.5651 Å, 90.00 90.00 120.00°
Element x y z (fractional)
Tb: 0.0000 0.0000 0.0000
Y: 0.0000 0.0000 0.4998
Pb: 0.3333 0.6667 0.7725
Pb: 0.6667 0.3333 0.2728
Au: 0.3333 0.6667 0.1664
Au: 0.6667 0.3333 0.6665



# 6
The following is a DFT calculation (PBE) of a geometry-optimized Hf2Be2In structure.

Symmetry = P4/mbm (127)
VASP energy = -62.60 eV for the cell shown
Density = 10.028 g/cm³

Cell: 6.4140 6.4140 3.9433 Å, 90.00 90.00 90.00°
Element x y z (fractional)
Hf: 0.1663 0.3337 0.0000
Hf: 0.3337 0.8337 0.0000
Hf: 0.6663 0.1663 0.0000
Hf: 0.8337 0.6663 0.0000
Be: 0.1184 0.6184 0.5000
Be: 0.3816 0.1184 0.5000
Be: 0.6184 0.8816 0.5000
Be: 0.8816 0.3816 0.5000
In: 0.0000 0.0000 0.5000
In: 0.5000 0.5000 0.5000



# 7
The following is a DFT calculation (PBE) of a geometry-optimized PrSnAu structure.

Symmetry = P6_3mc (186)
VASP energy = -29.10 eV for the cell shown
Density = 9.911 g/cm³

Cell: 4.7897 4.7897 7.7007 Å, 90.00 90.00 120.00°
Element x y z (fractional)
Pr: 0.0000 0.0000 0.0000
Pr: 0.0000 0.0000 0.5000
Sn: 0.3333 0.6667 0.2230
Sn: 0.6667 0.3333 0.7230
Au: 0.3333 0.6667 0.8092
Au: 0.6667 0.3333 0.3092



# 8
The following is a DFT calculation (PBE) of a geometry-optimized RbHfTc structure.

Symmetry = F-43m (216)
VASP energy = -13.09 eV for the cell shown
Density = 8.387 g/cm³
Distance to the lowest polymorph of the same formula = 1152.1 meV/atom

Cell: 4.6624 4.6624 4.6624 Å, 60.00 60.00 60.00°
Element x y z (fractional)
Rb: 0.0000 0.0000 0.0000
Hf: 0.7500 0.7500 0.7500
Tc: 0.2500 0.2500 0.2500



# 9
The following is a DFT calculation (PBE) of a geometry-optimized Li4NbTcO6 structure.

Symmetry = C2 (5)
VASP energy = -82.35 eV for the cell shown
Density = 4.745 g/cm³

Cell: 5.0512 5.0512 5.1919 Å, 99.41 99.41 118.65°
Element x y z (fractional)
Li: 0.0000 0.0000 0.0000
Li: 0.3497 0.6503 0.0000
Li: 0.6763 0.3237 0.0000
Li: 0.8442 0.1558 0.5000
Nb: 0.1923 0.8077 0.5000
Tc: 0.4946 0.5054 0.5000
O: 0.0851 0.4048 0.2358
O: 0.2645 0.2398 0.7318
O: 0.4117 0.0749 0.2687
O: 0.5952 0.9149 0.7642
O: 0.7602 0.7355 0.2682
O: 0.9251 0.5883 0.7313



# 10
The following is a DFT calculation (PBE) of a geometry-optimized KSmO2 structure.

Symmetry = P6_3/mmc (194)
VASP energy = -52.72 eV for the cell shown
Density = 5.401 g/cm³

Cell: 3.5500 3.5500 12.4756 Å, 90.00 90.00 120.00°
Element x y z (fractional)
K: 0.3333 0.6667 0.2500
K: 0.6667 0.3333 0.7500
Sm: 0.0000 0.0000 0.0000
Sm: 0.0000 0.0000 0.5000
O: 0.3333 0.6667 0.5954
O: 0.3333 0.6667 0.9046
O: 0.6667 0.3333 0.0954
O: 0.6667 0.3333 0.4046



# 11
The following is a DFT calculation (PBE) of a geometry-optimized RbTl9Pt2 structure.

Symmetry = P6/mmm (191)
VASP energy = -35.32 eV for the cell shown
Density = 10.714 g/cm³

Cell: 9.5034 9.5034 4.5873 Å, 90.00 90.00 120.00°
Element x y z (fractional)
Rb: 0.0000 0.0000 0.0000
Tl: 0.0000 0.5000 0.0000
Tl: 0.2073 0.4145 0.5000
Tl: 0.2073 0.7927 0.5000
Tl: 0.4145 0.2073 0.5000
Tl: 0.5000 0.0000 0.0000
Tl: 0.5000 0.5000 0.0000
Tl: 0.5855 0.7927 0.5000
Tl: 0.7927 0.2073 0.5000
Tl: 0.7927 0.5855 0.5000
Pt: 0.3333 0.6667 0.0000
Pt: 0.6667 0.3333 0.0000



# 12
The following is a DFT calculation (PBE) of a geometry-optimized TbSmAlTe3 structure.

Symmetry = Cmcm (63)
VASP energy = -56.37 eV for the cell shown
Density = 7.079 g/cm³

Cell: 8.0159 8.0159 10.4988 Å, 90.00 90.00 150.00°
Element x y z (fractional)
Tb: 0.0000 0.0000 0.0000
Tb: 0.0000 0.0000 0.5000
Sm: 0.2198 0.7802 0.7500
Sm: 0.7802 0.2198 0.2500
Al: 0.4768 0.5232 0.2500
Al: 0.5232 0.4768 0.7500
Te: 0.1204 0.8796 0.2500
Te: 0.3493 0.6507 0.0459
Te: 0.3493 0.6507 0.4541
Te: 0.6507 0.3493 0.5459
Te: 0.6507 0.3493 0.9541
Te: 0.8796 0.1204 0.7500



# 13
The following is a DFT calculation (PBE) of a geometry-optimized ThTlFe structure.

Symmetry = F-43m (216)
VASP energy = -17.47 eV for the cell shown
Density = 11.259 g/cm³

Cell: 4.6826 4.6826 4.6826 Å, 60.00 60.00 60.00°
Element x y z (fractional)
Th: 0.0000 0.0000 0.0000
Tl: 0.5000 0.5000 0.5000
Fe: 0.2500 0.2500 0.2500



# 14
The following is a DFT calculation (PBE) of a geometry-optimized GdBeIr structure.

Symmetry = P-6m2 (187)
VASP energy = -19.18 eV for the cell shown
Density = 10.987 g/cm³
Distance to the lowest polymorph of the same formula = 0.0 meV/atom

Cell: 3.9309 3.9309 4.0489 Å, 90.00 90.00 120.00°
Element x y z (fractional)
Gd: 0.0000 0.0000 0.0000
Be: 0.3333 0.6667 0.5000
Ir: 0.6667 0.3333 0.5000



# 15
The following is a DFT calculation (PBE) of a geometry-optimized Li4GaSiAg2 structure.

Symmetry = P-4m2 (115)
VASP energy = -23.98 eV for the cell shown
Density = 4.746 g/cm³

Cell: 4.3937 4.3937 6.1865 Å, 90.00 90.00 90.00°
Element x y z (fractional)
Li: 0.0000 0.0000 0.0000
Li: 0.0000 0.5000 0.2442
Li: 0.5000 0.0000 0.7558
Li: 0.5000 0.5000 0.5000
Ga: 0.0000 0.0000 0.5000
Si: 0.5000 0.5000 0.0000
Ag: 0.0000 0.5000 0.7609
Ag: 0.5000 0.0000 0.2391



# 16
The following is a DFT calculation (PBE) of a geometry-optimized InCoTcMo structure.

Symmetry = F-43m (216)
VASP energy = -30.16 eV for the cell shown
Density = 9.992 g/cm³
Distance to the lowest polymorph of the same formula = 0.0 meV/atom

Cell: 4.4211 4.4211 4.4211 Å, 60.00 60.00 60.00°
Element x y z (fractional)
In: 0.0000 0.0000 0.0000
Co: 0.2500 0.2500 0.2500
Tc: 0.7500 0.7500 0.7500
Mo: 0.5000 0.5000 0.5000



# 17
The following is a DFT calculation (PBE) of a geometry-optimized GaRe2Ni structure.

Symmetry = Ama2 (40)
VASP energy = -66.75 eV for the cell shown
Density = 15.121 g/cm³

Cell: 4.3562 5.4250 5.4250 Å, 120.91 90.00 90.00°
Element x y z (fractional)
Ga: 0.2500 0.0862 0.9138
Ga: 0.7500 0.9138 0.0862
Re: 0.2500 0.5616 0.9039
Re: 0.2500 0.6023 0.4175
Re: 0.7500 0.4175 0.6023
Re: 0.7500 0.9039 0.5616
Ni: 0.2500 0.0755 0.3750
Ni: 0.7500 0.3750 0.0755



# 18
The following is a DFT calculation (PBE) of a geometry-optimized TbErH2Cl4 structure.

Symmetry = P-6m2 (187)
VASP energy = -37.48 eV for the cell shown
Density = 4.829 g/cm³

Cell: 3.7282 3.7282 13.4267 Å, 90.00 90.00 120.00°
Element x y z (fractional)
Tb: 0.0000 0.0000 0.0000
Er: 0.0000 0.0000 0.5000
H: 0.3333 0.6667 0.0000
H: 0.6667 0.3333 0.5000
Cl: 0.3333 0.6667 0.3709
Cl: 0.3333 0.6667 0.6291
Cl: 0.6667 0.3333 0.1311
Cl: 0.6667 0.3333 0.8689



# 19
The following is a DFT calculation (PBE) of a geometry-optimized YEr6Lu structure.

Formation enthalpy at 0 K = 0.001 eV per atom
Symmetry = P-6m2 (187)
VASP energy = -38.36 eV for the cell shown
Density = 8.522 g/cm³

Cell: 7.1697 7.1697 5.5474 Å, 90.00 90.00 120.00°
Element x y z (fractional)
Y: 0.0000 0.0000 0.0000
Er: 0.3342 0.1671 0.5000
Er: 0.5003 0.0005 0.0000
Er: 0.5003 0.4997 0.0000
Er: 0.8329 0.1671 0.5000
Er: 0.8329 0.6658 0.5000
Er: 0.9995 0.4997 0.0000
Lu: 0.3333 0.6667 0.5000



# 20
The following is a DFT calculation (PBE) of a geometry-optimized YBeRe2 structure.

Symmetry = F-43m (216)
VASP energy = -33.79 eV for the cell shown
Density = 12.143 g/cm³

Cell: 4.4972 4.4972 4.4972 Å, 60.00 60.00 60.00°
Element x y z (fractional)
Y: 0.0000 0.0000 0.0000
Be: 0.7500 0.7500 0.7500
Re: 0.2500 0.2500 0.2500
Re: 0.5000 0.5000 0.5000